[1]
Material: Li2Mg3Pd8
Method: DFT, PBE-GGA
State: optimized geometry

POSCAR file:
```
Li2Mg3Pd8
1.0
2.661 1.536 8.958
-2.661 1.536 8.958
0.000 -3.073 8.958
Li Mg Pd
2 3 8
direct
0.141 0.141 0.141
0.859 0.859 0.859
0.318 0.318 0.318
0.500 0.500 0.500
0.682 0.682 0.682
0.226 0.226 0.226
0.235 0.235 0.734
0.235 0.734 0.235
0.266 0.765 0.765
0.734 0.235 0.235
0.765 0.266 0.765
0.765 0.765 0.266
0.774 0.774 0.774
```

Values from the calculation:
- DFT formation energy (eV per atom) = -0.313

***

[2]
Material: Tb5CdPd4
Method: DFT, PBE-GGA
State: optimized geometry

POSCAR file:
```
Tb5CdPd4
1.0
3.548 0.000 0.000
0.000 3.548 0.000
0.000 0.000 18.124
Tb Cd Pd
5 1 4
direct
0.000 0.000 0.000
0.000 0.000 0.193
0.000 0.000 0.384
0.000 0.000 0.616
0.000 0.000 0.807
0.500 0.500 0.500
0.500 0.500 0.096
0.500 0.500 0.292
0.500 0.500 0.708
0.500 0.500 0.904
```

Values from the calculation:
- DFT formation energy (eV per atom) = -0.751

***

[3]
Material: AcSmPu
Method: DFT, PBE-GGA
State: optimized geometry

POSCAR file:
```
AcSmPu
1.0
6.662 -1.789 0.000
6.662 1.789 0.000
-3.689 0.000 8.186
Ac Sm Pu
2 2 2
direct
0.044 0.044 0.225
0.956 0.956 0.775
0.350 0.350 0.371
0.650 0.650 0.629
0.209 0.209 0.030
0.791 0.791 0.970
```

Values from the calculation:
- DFT formation energy (eV per atom) = 0.405
- energy relative to the lowest polymorph listed for this composition (eV/atom) = 0.2318

***

[4]
Material: LaTb3Tl4Te8
Method: DFT, PBE-GGA
State: optimized geometry

POSCAR file:
```
LaTb3Tl4Te8
1.0
4.517 2.608 8.174
-4.517 2.608 8.174
0.000 -5.216 8.174
La Tb Tl Te
1 3 4 8
direct
0.000 0.000 0.000
0.000 0.500 0.500
0.500 0.000 0.500
0.500 0.500 0.000
0.000 0.000 0.500
0.000 0.500 0.000
0.500 0.000 0.000
0.500 0.500 0.500
0.244 0.244 0.730
0.244 0.730 0.244
0.262 0.262 0.262
0.270 0.756 0.756
0.730 0.244 0.244
0.738 0.738 0.738
0.756 0.270 0.756
0.756 0.756 0.270
```

Values from the calculation:
- energy relative to the elements, uncorrected (eV/atom) = -1.0811

***

[5]
Material: Nd3Tm3Tl2
Method: DFT, PBE-GGA
State: optimized geometry

POSCAR file:
```
Nd3Tm3Tl2
1.0
2.536 -5.960 0.000
2.536 5.960 0.000
0.000 0.000 16.748
Nd Tm Tl
6 6 4
direct
0.048 0.952 0.604
0.048 0.952 0.896
0.287 0.713 0.750
0.713 0.287 0.250
0.952 0.048 0.104
0.952 0.048 0.396
0.365 0.635 0.541
0.365 0.635 0.959
0.430 0.570 0.250
0.570 0.430 0.750
0.635 0.365 0.041
0.635 0.365 0.459
0.237 0.763 0.123
0.237 0.763 0.377
0.763 0.237 0.623
0.763 0.237 0.877
```

Values from the calculation:
- DFT formation energy (eV per atom) = -0.116
- energy relative to the lowest polymorph listed for this composition (eV/atom) = 0.0628

***

[6]
Material: CoTeHAu2
Method: DFT, PBE-GGA
State: optimized geometry

POSCAR file:
```
CoTeHAu2
1.0
5.337 0.000 0.000
0.000 5.337 0.000
0.000 0.000 4.799
Co Te H Au
1 1 1 2
direct
0.000 0.000 0.000
0.000 0.000 0.500
0.500 0.500 0.000
0.000 0.500 0.500
0.500 0.000 0.500
```

Values from the calculation:
- raw total energy (eV/atom) = -2.901